Below is crystalline Li2PAu2 at its relaxed geometry, with properties calculated at the PBE level.

Cell lengths 7.7204, 7.7204, 2.7217 Å; angles 90.00, 90.00, 90.00 degrees
Element x y z (fractional)
Li1 0.1602 0.3398 0.0000
Li2 0.3398 0.8398 0.0000
Li3 0.6602 0.1602 0.0000
Li4 0.8398 0.6602 0.0000
P1 0.0000 0.0000 0.0000
P2 0.5000 0.5000 0.0000
Au1 0.1359 0.6359 0.5000
Au2 0.3641 0.1359 0.5000
Au3 0.6359 0.8641 0.5000
Au4 0.8641 0.3641 0.5000

Properties
formation energy from the elements: -0.150 eV per atom
density: 8.98 g cm⁻³
size of the total moment: 0.00 μB/cell
electronic total energy: -3.309 eV per atom
SG: P4/mbm, No. 127
ΔE to the lowest computed polymorph: 0.137 eV per atom